! meta-GGA SCAN CsGaP3HO10, PBEsol geometry; values from VASP
! Total DFT energy (no corrections) = -376.51 eV for the cell shown
&SYSTEM
  ibrav = 0, nat = 32, ntyp = 5
/
ATOMIC_SPECIES
Cs 132.91 Cs.upf
Ga 69.72 Ga.upf
P 30.97 P.upf
H 1.01 H.upf
O 16.00 O.upf
ATOMIC_POSITIONS angstrom
Cs -1.3800 0.0209 2.6276
Cs -4.1399 4.9851 7.8827
Ga 4.4202 0.0000 0.0000
Ga 1.6602 0.0000 5.2551
P 2.4173 2.4996 0.0398
P -0.3426 2.5065 5.2950
P 3.0402 1.1940 2.6276
P 0.2803 3.8121 7.8827
P 3.6631 2.4996 5.2153
P 0.9032 2.5065 10.4704
H 0.0000 2.5030 0.0000
H -2.7599 2.5030 5.2551
O -4.4920 2.2340 9.9595
O -1.7321 2.7721 4.7044
O -0.0094 1.0256 5.1949
O -2.7693 3.9804 10.4500
O -2.0877 1.5668 9.9154
O 0.6722 3.4392 4.6603
O 2.2879 2.1738 1.6263
O -0.4720 2.8323 6.8815
O 1.9648 0.4252 3.3479
O -0.7951 4.5808 8.6030
O 4.1156 0.4252 1.9073
O 1.3557 4.5808 7.1624
O 3.7925 2.1738 3.6288
O 1.0326 2.8323 8.8839
O 2.6483 1.5668 5.8500
O 5.4082 3.4392 0.5948
O 6.0898 1.0256 0.0603
O 3.3299 3.9804 5.3154
O 5.0526 2.2340 5.8059
O 7.8125 2.7721 0.5508
CELL_PARAMETERS angstrom
8.8403 0.0000 0.0000
0.0000 5.0060 0.0000
-5.5198 0.0000 10.5103

***

! meta-GGA SCAN BaTe2Se, PBEsol geometry; values from VASP
! Energy relative to the elements, uncorrected = -13.10 kcal/mol of atoms
! Total DFT energy (no corrections) = -136.40 eV for the cell shown
&SYSTEM
  ibrav = 0, nat = 4, ntyp = 3
/
ATOMIC_SPECIES
Ba 137.33 Ba.upf
Te 127.60 Te.upf
Se 78.96 Se.upf
ATOMIC_POSITIONS angstrom
Ba 0.0000 0.0000 0.0000
Te 3.9189 3.9189 3.9189
Te 5.8784 5.8784 5.8784
Se 1.9595 1.9595 1.9595
CELL_PARAMETERS angstrom
0.0000 3.9189 3.9189
3.9189 0.0000 3.9189
3.9189 3.9189 0.0000

***

! meta-GGA SCAN TlSiP3, PBEsol geometry; values from VASP
! Energy relative to the elements, uncorrected = 15.75 kcal/mol of atoms
! Total DFT energy (no corrections) = -110.15 eV for the cell shown
&SYSTEM
  ibrav = 0, nat = 5, ntyp = 3
/
ATOMIC_SPECIES
Tl 204.38 Tl.upf
Si 28.09 Si.upf
P 30.97 P.upf
ATOMIC_POSITIONS angstrom
Tl 0.0000 0.0000 0.0000
Si 2.2934 2.2934 2.2934
P 0.0000 2.2934 2.2934
P 2.2934 0.0000 2.2934
P 2.2934 2.2934 0.0000
CELL_PARAMETERS angstrom
4.5868 0.0000 0.0000
0.0000 4.5868 0.0000
0.0000 0.0000 4.5868

***

! meta-GGA SCAN AgSbP3, PBEsol geometry; values from VASP
! Energy relative to the elements, uncorrected = 32.65 kcal/mol of atoms
! Total DFT energy (no corrections) = -92.75 eV for the cell shown
&SYSTEM
  ibrav = 0, nat = 5, ntyp = 3
/
ATOMIC_SPECIES
Ag 107.87 Ag.upf
Sb 121.76 Sb.upf
P 30.97 P.upf
ATOMIC_POSITIONS angstrom
Ag 0.0000 0.0000 0.0000
Sb 2.4848 2.4848 2.4848
P 0.0000 2.4848 2.4848
P 2.4848 0.0000 2.4848
P 2.4848 2.4848 0.0000
CELL_PARAMETERS angstrom
4.9695 0.0000 0.0000
0.0000 4.9695 0.0000
0.0000 0.0000 4.9695

***

! meta-GGA SCAN CaBe3, PBEsol geometry; values from VASP
! E above lowest polymorph = 0.00 eV per formula unit
! Total DFT energy (no corrections) = -20.82 eV for the cell shown
! Energy of formation = 0.476 eV/atom
&SYSTEM
  ibrav = 0, nat = 4, ntyp = 2
/
ATOMIC_SPECIES
Ca 40.08 Ca.upf
Be 9.01 Be.upf
ATOMIC_POSITIONS angstrom
Ca 0.0000 0.0000 0.0000
Be 0.0000 1.8216 3.3994
Be 1.3328 0.0000 2.9248
Be 1.3328 1.8216 1.7151
CELL_PARAMETERS angstrom
2.6656 0.0000 0.0000
0.0000 3.6431 0.0000
0.0000 0.0000 5.8247

***

! meta-GGA SCAN InAg4Sb, PBEsol geometry; values from VASP
! Energy relative to the elements, uncorrected = 1.89 kcal/mol of atoms
! Total DFT energy (no corrections) = -195.62 eV for the cell shown
&SYSTEM
  ibrav = 0, nat = 6, ntyp = 3
/
ATOMIC_SPECIES
In 114.82 In.upf
Ag 107.87 Ag.upf
Sb 121.76 Sb.upf
ATOMIC_POSITIONS angstrom
In 0.0000 0.0000 0.0000
Ag 4.8579 2.9141 2.9141
Ag 2.9141 4.8579 2.9141
Ag 2.9141 2.9141 4.8579
Ag 4.8579 4.8579 4.8579
Sb 1.9430 1.9430 1.9430
CELL_PARAMETERS angstrom
0.0000 3.8860 3.8860
3.8860 0.0000 3.8860
3.8860 3.8860 0.0000

***

What is the total DFT energy (no corrections) in the fourth record? -92.75 eV for the cell shown

***

What did the second record say?
! meta-GGA SCAN BaTe2Se, PBEsol geometry; values from VASP
! Energy relative to the elements, uncorrected = -13.10 kcal/mol of atoms
! Total DFT energy (no corrections) = -136.40 eV for the cell shown
&SYSTEM
  ibrav = 0, nat = 4, ntyp = 3
/
ATOMIC_SPECIES
Ba 137.33 Ba.upf
Te 127.60 Te.upf
Se 78.96 Se.upf
ATOMIC_POSITIONS angstrom
Ba 0.0000 0.0000 0.0000
Te 3.9189 3.9189 3.9189
Te 5.8784 5.8784 5.8784
Se 1.9595 1.9595 1.9595
CELL_PARAMETERS angstrom
0.0000 3.9189 3.9189
3.9189 0.0000 3.9189
3.9189 3.9189 0.0000

***

Among the records above, which one has the highest total DFT energy (no corrections)? CaBe3

***

total DFT energy (no corrections) of number 6 (InAg4Sb)? -195.62 eV for the cell shown